La2CuPd | GGA-PBE | relaxed

## Properties
Its uncorrected energy is -4.952 eV per atom. The density is 6.8 g/cm³. The formation energy is -0.66 eV/f.u.

Lattice parameters (Å, degrees): 7.795 7.795 7.151 90.00 90.00 90.00
Space group I-42d (No. 122)
Symmetry-distinct sites (fractional):
1 La 0.247 0.250 0.125 [8 per cell]
2 Cu 0.000 0.000 0.500 [4 per cell]
3 Pd 0.000 0.000 0.000 [4 per cell]